[1]
8
Lattice="3.710 0.000 0.000 0.000 3.710 0.000 0.000 0.000 14.912" Properties=species:S:1:pos:R:3 comment="Pr3HoAl4, optimized geometry, DFT PBE" crystal_system=tetragonal formation_enthalpy_0k_ev_per_atom=-0.3534 pbc="T T T"
Pr 1.855 1.855 3.625
Pr 1.855 1.855 7.456
Pr 1.855 1.855 11.287
Ho 1.855 1.855 0.000
Al 0.000 0.000 13.249
Al 0.000 0.000 1.664
Al 0.000 0.000 5.543
Al 0.000 0.000 9.369

=====

[2]
20
Lattice="6.844 0.014 0.011 1.609 9.952 0.862 1.609 3.744 9.261" Properties=species:S:1:pos:R:3 comment="PrHo3Al, optimized geometry, DFT PBE" crystal_system=monoclinic formation_enthalpy_0k_ev_per_atom=-0.0344 polymorph_energy_ev_per_atom=0.105 pbc="T T T"
Pr 3.320 9.701 1.210
Pr 6.742 4.010 8.924
Pr 3.320 5.959 6.272
Pr 6.742 7.752 3.862
Ho 5.104 6.579 0.598
Ho 8.380 11.216 4.025
Ho 4.958 7.132 9.536
Ho 1.682 2.495 6.109
Ho 8.397 7.031 9.554
Ho 5.087 2.522 6.220
Ho 1.665 6.679 0.580
Ho 4.975 11.189 3.914
Ho 5.011 9.451 6.913
Ho 1.630 4.322 3.121
Ho 5.052 4.259 3.221
Ho 8.432 9.389 7.013
Al 6.661 6.932 7.082
Al 6.823 4.914 5.590
Al 3.401 6.779 3.052
Al 3.239 8.797 4.544

=====

Computed values of total magnetization (unit: μB per cell) for the preceding records, in sequence: 0.00, 0.00.
Computed values of calculated total energy (unit: eV/atom) for the preceding records, in sequence: -4.59, -4.49.
Computed values of Fermi-level density of states (unit: states/eV/cell) for the preceding records, in sequence: 3.7, 26.7.